An optimized crystal structure of LiHgAs, computed with GGA-PBE. Values from VASP.

Its space group is P3m1 (156). For the total DFT energy (no corrections), the calculation gives -2.45 eV per atom. The value obtained for the formation energy is -0.159 eV/atom. The crystal system is trigonal.

The structure in Quantum ESPRESSO input format:
```
&SYSTEM
  ibrav = 0, nat = 3, ntyp = 3
/
ATOMIC_SPECIES
Li 6.94 Li.upf
Hg 200.59 Hg.upf
As 74.92 As.upf
ATOMIC_POSITIONS crystal
Li 0.000 0.000 0.000
Hg 0.333 0.667 0.502
As 0.667 0.333 0.500
CELL_PARAMETERS angstrom
4.786 0.000 0.000
-2.393 4.145 0.000
0.000 0.000 3.089
```



An optimized crystal structure of SmYEr, computed with GGA-PBE. Values from VASP.

Its space group is P-6m2 (187). For the total DFT energy (no corrections), the calculation gives -5.18 eV per atom. The value obtained for the formation energy is 0.065 eV/atom. The energy above the most stable polymorph in this dataset is 0.058 eV/atom. The crystal system is hexagonal.

The structure in Quantum ESPRESSO input format:
```
&SYSTEM
  ibrav = 0, nat = 3, ntyp = 3
/
ATOMIC_SPECIES
Sm 150.36 Sm.upf
Y 88.91 Y.upf
Er 167.26 Er.upf
ATOMIC_POSITIONS crystal
Sm 0.000 0.000 0.000
Y 0.333 0.667 0.500
Er 0.667 0.333 0.000
CELL_PARAMETERS angstrom
5.624 0.000 0.000
-2.812 4.870 0.000
0.000 0.000 3.515
```